Below is crystalline LiSm at its relaxed geometry, with properties calculated at the PBE level.

Properties
Its formation energy is 24.8 kJ/mol of formula units. The total magnetic moment is 0.00 μB/cell. As for the energy relative to the lowest polymorph listed for this composition: 0 meV/atom. Its total DFT energy (no corrections) is -3.188 eV per atom.

Unit cell a=3.3852 b=5.1127 c=6.5915 alpha=90.00 beta=104.79 gamma=90.00
Last column: nearest neighbours and their distance in Å.
Fractional positions:
Li 0.0636 0.2500 0.1287  4 Li 3.04-3.39, 5 Sm 3.31-3.38
Li 0.9364 0.7500 0.8713  4 Li 3.04-3.39, 5 Sm 3.31-3.38
Sm 0.3246 0.2500 0.6487  7 Li 3.31-3.50, 6 Sm 3.39-3.61
Sm 0.6754 0.7500 0.3513  7 Li 3.31-3.50, 6 Sm 3.39-3.61

=====

Below is crystalline CaNiRh2N at its relaxed geometry, with properties calculated at the PBE level.

Properties
The total magnetic moment is 4.25 μB/cell. As for the energy relative to the lowest polymorph listed for this composition: 2165 meV/atom. Its total DFT energy (no corrections) is -4.125 eV per atom. The calculation puts the raw formation energy at 2037 meV per atom.

Unit cell a=4.8672 b=4.8672 c=4.1877 alpha=90.00 beta=90.00 gamma=90.00
Last column: nearest neighbours and their distance in Å.
Fractional positions:
Ca 0.0000 0.0000 0.0000  2 N 2.09
Ni 0.5000 0.5000 0.5000  8 Rh 3.21, 4 N 3.44
Rh 0.0000 0.5000 0.0000  2 Ca 2.43
Rh 0.5000 0.0000 0.0000  2 Ca 2.43
N 0.0000 0.0000 0.5000  2 Ca 2.09

=====

Below is crystalline K4NaBr5 at its relaxed geometry, with properties calculated at the PBE level.

Properties
The total magnetic moment is 0.00 μB/cell. As for the energy relative to the lowest polymorph listed for this composition: 0 meV/atom. Its total DFT energy (no corrections) is -3.106 eV per atom. The calculation puts the raw formation energy at -1699 meV per atom.

Unit cell a=12.3172 b=12.3172 c=12.3172 alpha=158.45 beta=148.90 gamma=38.15
Last column: nearest neighbours and their distance in Å.
Fractional positions:
K 0.0990 0.0990 0.0000  6 Br 3.26-3.31
K 0.3044 0.3044 0.0000  6 Br 3.30-3.38
K 0.6956 0.6956 0.0000  6 Br 3.30-3.38
K 0.9010 0.9010 0.0000  6 Br 3.26-3.31
Na 0.5000 0.5000 0.0000  6 Br 3.10-3.30
Br 0.0000 0.5000 0.5000  4 K 3.26, 2 Na 3.30
Br 0.2014 0.7014 0.5000  6 K 3.30-3.32
Br 0.4108 0.9108 0.5000  2 Na 3.10, 4 K 3.31-3.38
Br 0.5892 0.0892 0.5000  2 Na 3.10, 4 K 3.31-3.38
Br 0.7986 0.2986 0.5000  6 K 3.30-3.32

=====

Below is crystalline Ta3ReW at its relaxed geometry, with properties calculated at the PBE level.

Properties
Its formation energy is -77.1 kJ/mol of formula units. The total magnetic moment is 0.00 μB/cell. As for the energy relative to the lowest polymorph listed for this composition: 0 meV/atom. Its total DFT energy (no corrections) is -12.352 eV per atom.

Unit cell a=4.5887 b=4.5887 c=9.6504 alpha=103.82 beta=103.82 gamma=60.03
Last column: nearest neighbours and their distance in Å.
Fractional positions:
Ta 0.0496 0.0496 0.1492  4 Ta 2.77-2.80, 1 W 2.81, 3 Re 2.81-2.82
Ta 0.2512 0.2512 0.7531  1 Re 2.73, 1 W 2.79, 6 Ta 2.80
Ta 0.4485 0.4485 0.3456  1 Re 2.77, 4 Ta 2.80-2.86, 3 W 2.83
Ta 0.5515 0.5515 0.6544  1 Re 2.77, 4 Ta 2.80-2.86, 3 W 2.83
Ta 0.7488 0.7488 0.2469  1 Re 2.73, 1 W 2.79, 6 Ta 2.80
Ta 0.9504 0.9504 0.8508  4 Ta 2.77-2.80, 1 W 2.81, 3 Re 2.81-2.82
Re 0.3491 0.3491 0.0472  5 Ta 2.73-2.82, 3 Re 2.79
Re 0.6509 0.6509 0.9528  5 Ta 2.73-2.82, 3 Re 2.79
W 0.1505 0.1505 0.4520  5 Ta 2.79-2.83, 3 W 2.79-2.80
W 0.8495 0.8495 0.5480  5 Ta 2.79-2.83, 3 W 2.79-2.80

=====

Below is crystalline SrMgNb4N8 at its relaxed geometry, with properties calculated at the PBE level.

Properties
The total magnetic moment is 0.00 μB/cell. Its total DFT energy (no corrections) is -8.629 eV per atom. The calculation puts the raw formation energy at -760 meV per atom.

Unit cell a=6.5458 b=6.5458 c=6.5458 alpha=58.44 beta=58.44 gamma=58.44
Last column: nearest neighbours and their distance in Å.
Fractional positions:
Sr 0.0000 0.0000 0.0000  4 N 2.30-2.33
Mg 0.3760 0.3760 0.3760  6 N 2.24-2.29
Nb 0.3681 0.3681 0.8933  3 N 1.96-2.07
Nb 0.3681 0.8933 0.3681  3 N 1.96-2.07
Nb 0.7459 0.7459 0.7459  4 N 1.98-2.16
Nb 0.8933 0.3681 0.3681  3 N 1.96-2.07
N 0.1230 0.6215 0.6215  1 Nb 1.98
N 0.1310 0.1310 0.5569  2 Nb 1.96
N 0.1310 0.5569 0.1310  2 Nb 1.96
N 0.1417 0.1417 0.1417  3 Nb 2.07, 1 Sr 2.30
N 0.5569 0.1310 0.1310  2 Nb 1.96
N 0.6127 0.6127 0.6127  4 Nb 2.16-2.24
N 0.6215 0.1230 0.6215  1 Nb 1.98
N 0.6215 0.6215 0.1230  1 Nb 1.98

=====

Below is crystalline InTc2Te at its relaxed geometry, with properties calculated at the PBE level.

Properties
The total magnetic moment is 0.34 μB/cell. As for the energy relative to the lowest polymorph listed for this composition: 450 meV/atom. Its total DFT energy (no corrections) is -6.007 eV per atom. The calculation puts the raw formation energy at 646 meV per atom.

Unit cell a=5.2447 b=5.2447 c=5.2447 alpha=134.36 beta=134.36 gamma=66.53
Last column: nearest neighbours and their distance in Å.
Fractional positions:
In 0.0000 0.0000 0.0000  8 Tc 2.88-2.99, 4 Te 2.99
Tc 0.2500 0.7500 0.5000  4 Te 2.88, 4 In 2.99, 4 Tc 2.99
Tc 0.5000 0.5000 0.0000  4 In 2.88, 4 Tc 2.99, 4 Te 2.99
Te 0.7500 0.2500 0.5000  8 Tc 2.88-2.99, 4 In 2.99

=====

What are the V values for these records? In order: 27.6 19.8 35.4 16.9 13.7 18.1 Å³ per atom.